HfNiPtO6 | PBE+U | optimized geometry

Unit cell a=4.7230 b=4.7230 c=9.4061 alpha=90.00 beta=90.00 gamma=90.00
Closest atoms and distances in Å follow each position.
Element x y z (fractional)
1 Hf 0.0000 0.0000 0.0000  6 O 2.07-2.08
2 Hf 0.5000 0.5000 0.5000  6 O 2.07-2.08
3 Ni 0.0000 0.0000 0.3319  6 O 2.03-2.09
4 Ni 0.5000 0.5000 0.8319  6 O 2.03-2.09
5 Pt 0.0000 0.0000 0.6675  6 O 1.95-2.00
6 Pt 0.5000 0.5000 0.1675  6 O 1.95-2.00
7 O 0.1906 0.1906 0.5063  1 Pt 1.98, 1 Hf 2.07, 1 Ni 2.08
8 O 0.1955 0.1955 0.8287  1 Pt 2.00, 1 Ni 2.03, 1 Hf 2.07
9 O 0.2075 0.2075 0.1653  1 Pt 1.95, 1 Hf 2.08, 1 Ni 2.09
10 O 0.2925 0.7075 0.6653  1 Pt 1.95, 1 Hf 2.08, 1 Ni 2.09
11 O 0.3045 0.6955 0.3287  1 Pt 2.00, 1 Ni 2.03, 1 Hf 2.07
12 O 0.3094 0.6906 0.0063  1 Pt 1.98, 1 Hf 2.07, 1 Ni 2.08
13 O 0.6906 0.3094 0.0063  1 Pt 1.98, 1 Hf 2.07, 1 Ni 2.08
14 O 0.6955 0.3045 0.3287  1 Pt 2.00, 1 Ni 2.03, 1 Hf 2.07
15 O 0.7075 0.2925 0.6653  1 Pt 1.95, 1 Hf 2.08, 1 Ni 2.09
16 O 0.7925 0.7925 0.1653  1 Pt 1.95, 1 Hf 2.08, 1 Ni 2.09
17 O 0.8045 0.8045 0.8287  1 Pt 2.00, 1 Ni 2.03, 1 Hf 2.07
18 O 0.8094 0.8094 0.5063  1 Pt 1.98, 1 Hf 2.07, 1 Ni 2.08

Calculated values
Its total magnetization is 0.180 μB per atom. The calculation puts the electronic total energy at -6.8225 eV per atom. Its crystal system is tetragonal.